Entry from the Alexandria database: SiTc2Hg after structural relaxation (PBE).

Results
offset from the most stable computed form	177	meV per atom
SG	No. 160
formation energy without anion corrections	0.223	eV per atom

abc: 2.8706 2.8706 27.3889
angles: 90.00 90.00 120.00
With the nearest neighbours (Å) after each atom.
Positions (direct):
Si: 0.0000 0.0000 0.0000  3 Tc 2.60, 6 Si 2.87
Si: 0.3333 0.6667 0.6667  3 Tc 2.60, 6 Si 2.87
Si: 0.6667 0.3333 0.3333  3 Tc 2.60, 6 Si 2.87
Tc: 0.0000 0.0000 0.2601  3 Si 2.60, 9 Tc 2.62-2.87
Tc: 0.0000 0.0000 0.5192  9 Tc 2.62-2.87
Tc: 0.3333 0.6667 0.1859  9 Tc 2.62-2.87
Tc: 0.3333 0.6667 0.9268  3 Si 2.60, 9 Tc 2.62-2.87
Tc: 0.6667 0.3333 0.5935  3 Si 2.60, 9 Tc 2.62-2.87
Tc: 0.6667 0.3333 0.8526  9 Tc 2.62-2.87
Hg: 0.0000 0.0000 0.7607  6 Hg 2.87, 3 Tc 3.01, 3 Si 3.06
Hg: 0.3333 0.6667 0.4273  6 Hg 2.87, 3 Tc 3.01, 3 Si 3.06
Hg: 0.6667 0.3333 0.0940  6 Hg 2.87, 3 Tc 3.01, 3 Si 3.06